1.
# GaFeIO2 (PBE with a Hubbard U, relaxed)
# **Calculated total energy**: -4.318 eV/atom
# **Energy above the most stable polymorph in this dataset**: 0.00 kcal/mol of atoms
# **V**: 18.75 Å³/atom
data_GaFeIO2
_chemical_formula_sum 'Ga1 Fe1 I1 O2'
_cell_length_a 3.9713
_cell_length_b 3.9713
_cell_length_c 5.9446
_cell_angle_alpha 90.00
_cell_angle_beta 90.00
_cell_angle_gamma 90.00
_symmetry_space_group_name_H-M 'P 1'
_symmetry_Int_Tables_number 1
loop_
_symmetry_equiv_pos_as_xyz
'x,y,z'
loop_
_atom_site_label
_atom_site_type_symbol
_atom_site_fract_x
_atom_site_fract_y
_atom_site_fract_z
Ga1 Ga 0.0000 0.0000 0.0000
Fe1 Fe 0.5000 0.5000 0.5000
I1 I 0.5000 0.5000 0.0000
O1 O 0.0000 0.5000 0.5000
O2 O 0.5000 0.0000 0.5000

=====

2.
# GaFeIO2 (PBE with a Hubbard U, relaxed)
# **Calculated total energy**: -4.301 eV/atom
# **Energy above the most stable polymorph in this dataset**: 0.41 kcal/mol of atoms
# **V**: 17.54 Å³/atom
data_GaFeIO2
_chemical_formula_sum 'Ga1 Fe1 I1 O2'
_cell_length_a 3.8808
_cell_length_b 3.8808
_cell_length_c 5.8234
_cell_angle_alpha 90.00
_cell_angle_beta 90.00
_cell_angle_gamma 90.00
_symmetry_space_group_name_H-M 'P 1'
_symmetry_Int_Tables_number 1
loop_
_symmetry_equiv_pos_as_xyz
'x,y,z'
loop_
_atom_site_label
_atom_site_type_symbol
_atom_site_fract_x
_atom_site_fract_y
_atom_site_fract_z
Ga1 Ga 0.0000 0.0000 0.0000
Fe1 Fe 0.5000 0.5000 0.5000
I1 I 0.0000 0.0000 0.5000
O1 O 0.0000 0.5000 0.0000
O2 O 0.5000 0.0000 0.0000

=====

Please write out number 1 again, unchanged.
# GaFeIO2 (PBE with a Hubbard U, relaxed)
# **Calculated total energy**: -4.318 eV/atom
# **Energy above the most stable polymorph in this dataset**: 0.00 kcal/mol of atoms
# **V**: 18.75 Å³/atom
data_GaFeIO2
_chemical_formula_sum 'Ga1 Fe1 I1 O2'
_cell_length_a 3.9713
_cell_length_b 3.9713
_cell_length_c 5.9446
_cell_angle_alpha 90.00
_cell_angle_beta 90.00
_cell_angle_gamma 90.00
_symmetry_space_group_name_H-M 'P 1'
_symmetry_Int_Tables_number 1
loop_
_symmetry_equiv_pos_as_xyz
'x,y,z'
loop_
_atom_site_label
_atom_site_type_symbol
_atom_site_fract_x
_atom_site_fract_y
_atom_site_fract_z
Ga1 Ga 0.0000 0.0000 0.0000
Fe1 Fe 0.5000 0.5000 0.5000
I1 I 0.5000 0.5000 0.0000
O1 O 0.0000 0.5000 0.5000
O2 O 0.5000 0.0000 0.5000